Ba3B2MoO8: relaxed, GGA+U.

Unit cell a=5.4405 b=5.4405 c=7.3520 alpha=90.00 beta=90.00 gamma=120.00
Last column: nearest neighbours and their distance in Å.
Element x y z (fractional)
Ba  0.0000  0.0000  0.0000  12 O 2.97-3.18
Ba  0.3333  0.6667  0.7126  7 O 2.60-2.74
Ba  0.6667  0.3333  0.2874  7 O 2.60-2.74
B  0.3333  0.6667  0.2572  4 O 1.41-1.55
B  0.6667  0.3333  0.7428  4 O 1.41-1.55
Mo  0.0000  0.0000  0.5000  6 O 2.09
O  0.1794  0.3587  0.3327  1 B 1.55
O  0.1794  0.8206  0.3327  1 B 1.55
O  0.3333  0.6667  0.0658  1 B 1.41
O  0.3587  0.1794  0.6673  1 B 1.55
O  0.6413  0.8206  0.3327  1 B 1.55
O  0.6667  0.3333  0.9342  1 B 1.41
O  0.8206  0.1794  0.6673  1 B 1.55
O  0.8206  0.6413  0.6673  1 B 1.55

Results
E_tot: -7.124 eV/atom
magnetization: 2.0 μB/f.u.